A geometry-optimized Pm4CoSi2 structure. Source: the Alexandria database, functional PBE.

```
Pm4CoSi2
1.0
4.870 0.000 0.000
0.000 4.870 0.000
-2.435 -2.435 8.039
Si Co Pm
2 1 4
direct
0.635 0.635 0.270 Si
0.365 0.365 0.730 Si
0.000 0.000 0.000 Co
0.818 0.818 0.636 Pm
0.182 0.182 0.364 Pm
0.000 0.500 0.000 Pm
0.500 0.000 0.000 Pm
```

Summary:
total magnetic moment: 0.0 μB/f.u.
ΔE_f (raw): -0.205 eV/atom
SG: I4/mmm, No. 139